Record 1
# PBE Ti2VAs2, optimized geometry
data_Ti2VAs2
_chemical_formula_sum 'Ti2 V1 As2'
_space_group_name_H-M_alt 'P 1'
_space_group_IT_number 1
_cell_length_a 6.3248
_cell_length_b 6.3248
_cell_length_c 6.3248
_cell_angle_alpha 143.72
_cell_angle_beta 143.72
_cell_angle_gamma 52.25
loop_
_space_group_symop_operation_xyz
'x,y,z'
loop_
_atom_site_label
_atom_site_type_symbol
_atom_site_fract_x
_atom_site_fract_y
_atom_site_fract_z
_atom_site_occupancy
Ti1 Ti 0.2500 0.7500 0.5000 1
Ti2 Ti 0.7500 0.2500 0.5000 1
V1 V 0.0000 0.0000 0.0000 1
As1 As 0.3925 0.3925 0.0000 1
As2 As 0.6075 0.6075 0.0000 1
# **Space-group type**: I4/mmm
# **Energy of formation from the pure elements**: -0.167 eV/atom
# **Relative energy among the computed polymorphs**: 521.6 meV/atom
# **E_tot**: -35.0 eV per formula unit
# **Size of the total moment**: 0.467 μB/atom

---

Record 2
# PBE TiVAs2, optimized geometry
data_TiVAs2
_chemical_formula_sum 'Ti2 V2 As4'
_space_group_name_H-M_alt 'P 1'
_space_group_IT_number 1
_cell_length_a 7.0952
_cell_length_b 7.0952
_cell_length_c 7.0952
_cell_angle_alpha 132.51
_cell_angle_beta 132.51
_cell_angle_gamma 69.42
loop_
_space_group_symop_operation_xyz
'x,y,z'
loop_
_atom_site_label
_atom_site_type_symbol
_atom_site_fract_x
_atom_site_fract_y
_atom_site_fract_z
_atom_site_occupancy
Ti1 Ti 0.0000 0.0000 0.0000 1
Ti2 Ti 0.7500 0.2500 0.5000 1
V1 V 0.2500 0.7500 0.5000 1
V2 V 0.5000 0.5000 0.0000 1
As1 As 0.1298 0.6250 0.0048 1
As2 As 0.3750 0.3798 0.5048 1
As3 As 0.6202 0.1250 0.9952 1
As4 As 0.8750 0.8702 0.4952 1
# **Space-group type**: I-42d
# **Energy of formation from the pure elements**: -0.058 eV/atom
# **Relative energy among the computed polymorphs**: 597.2 meV/atom
# **E_tot**: -26.5 eV per formula unit
# **Size of the total moment**: 0.732 μB/atom

---

Record 3
# PBE Ti4VAs2, optimized geometry
data_Ti4VAs2
_chemical_formula_sum 'Ti4 V1 As2'
_space_group_name_H-M_alt 'P 1'
_space_group_IT_number 1
_cell_length_a 7.5031
_cell_length_b 7.5031
_cell_length_c 7.5031
_cell_angle_alpha 146.57
_cell_angle_beta 146.57
_cell_angle_gamma 48.01
loop_
_space_group_symop_operation_xyz
'x,y,z'
loop_
_atom_site_label
_atom_site_type_symbol
_atom_site_fract_x
_atom_site_fract_y
_atom_site_fract_z
_atom_site_occupancy
Ti1 Ti 0.0000 0.5000 0.5000 1
Ti2 Ti 0.1790 0.1790 0.0000 1
Ti3 Ti 0.5000 0.0000 0.5000 1
Ti4 Ti 0.8210 0.8210 0.0000 1
V1 V 0.0000 0.0000 0.0000 1
As1 As 0.3643 0.3643 0.0000 1
As2 As 0.6357 0.6357 0.0000 1
# **Space-group type**: I4/mmm
# **Energy of formation from the pure elements**: 0.139 eV/atom
# **E_tot**: -49.0 eV per formula unit
# **Size of the total moment**: 0.001 μB/atom

---

Record 4
# PBE TiVAs, optimized geometry
data_TiVAs
_chemical_formula_sum 'Ti4 V4 As4'
_space_group_name_H-M_alt 'P 1'
_space_group_IT_number 1
_cell_length_a 7.7658
_cell_length_b 7.7658
_cell_length_c 8.0788
_cell_angle_alpha 94.22
_cell_angle_beta 94.22
_cell_angle_gamma 24.69
loop_
_space_group_symop_operation_xyz
'x,y,z'
loop_
_atom_site_label
_atom_site_type_symbol
_atom_site_fract_x
_atom_site_fract_y
_atom_site_fract_z
_atom_site_occupancy
Ti1 Ti 0.0334 0.0334 0.3326 1
Ti2 Ti 0.4011 0.4011 0.1557 1
Ti3 Ti 0.5989 0.5989 0.8443 1
Ti4 Ti 0.9666 0.9666 0.6674 1
V1 V 0.2382 0.2382 0.3683 1
V2 V 0.2450 0.2450 0.8729 1
V3 V 0.7550 0.7550 0.1271 1
V4 V 0.7618 0.7618 0.6317 1
As1 As 0.1317 0.1317 0.0976 1
As2 As 0.1351 0.1351 0.6051 1
As3 As 0.8649 0.8649 0.3949 1
As4 As 0.8683 0.8683 0.9024 1
# **Space-group type**: C2/m
# **Energy of formation from the pure elements**: -0.299 eV/atom
# **E_tot**: -22.6 eV per formula unit
# **Size of the total moment**: 0.000 μB/atom

---

Record 5
# PBE TiVAs, optimized geometry
data_TiVAs
_chemical_formula_sum 'Ti1 V1 As1'
_space_group_name_H-M_alt 'P 1'
_space_group_IT_number 1
_cell_length_a 4.3990
_cell_length_b 4.3990
_cell_length_c 2.7244
_cell_angle_alpha 90.00
_cell_angle_beta 90.00
_cell_angle_gamma 120.00
loop_
_space_group_symop_operation_xyz
'x,y,z'
loop_
_atom_site_label
_atom_site_type_symbol
_atom_site_fract_x
_atom_site_fract_y
_atom_site_fract_z
_atom_site_occupancy
Ti1 Ti 0.0000 0.0000 0.0000 1
V1 V 0.6667 0.3333 0.5000 1
As1 As 0.3333 0.6667 0.5000 1
# **Space-group type**: P-6m2
# **Energy of formation from the pure elements**: -0.176 eV/atom
# **E_tot**: -22.2 eV per formula unit
# **Size of the total moment**: 0.000 μB/atom

---

Record 6
# PBE TiV3As2, optimized geometry
data_TiV3As2
_chemical_formula_sum 'Ti2 V6 As4'
_space_group_name_H-M_alt 'P 1'
_space_group_IT_number 1
_cell_length_a 7.6052
_cell_length_b 7.6052
_cell_length_c 7.7909
_cell_angle_alpha 112.29
_cell_angle_beta 112.29
_cell_angle_gamma 25.25
loop_
_space_group_symop_operation_xyz
'x,y,z'
loop_
_atom_site_label
_atom_site_type_symbol
_atom_site_fract_x
_atom_site_fract_y
_atom_site_fract_z
_atom_site_occupancy
Ti1 Ti 0.1080 0.1080 0.1039 1
Ti2 Ti 0.8920 0.8920 0.8961 1
V1 V 0.0572 0.0572 0.6452 1
V2 V 0.3123 0.3123 0.0994 1
V3 V 0.3596 0.3596 0.5290 1
V4 V 0.6404 0.6404 0.4710 1
V5 V 0.6877 0.6877 0.9006 1
V6 V 0.9428 0.9428 0.3548 1
As1 As 0.2464 0.2464 0.7200 1
As2 As 0.4920 0.4920 0.1728 1
As3 As 0.5080 0.5080 0.8272 1
As4 As 0.7536 0.7536 0.2800 1
# **Space-group type**: C2/m
# **Energy of formation from the pure elements**: -0.448 eV/atom
# **E_tot**: -47.2 eV per formula unit
# **Size of the total moment**: 0.000 μB/atom

---

Record 7
# PBE Ti3VAs2, optimized geometry
data_Ti3VAs2
_chemical_formula_sum 'Ti6 V2 As4'
_space_group_name_H-M_alt 'P 1'
_space_group_IT_number 1
_cell_length_a 7.0701
_cell_length_b 7.0701
_cell_length_c 7.0701
_cell_angle_alpha 132.51
_cell_angle_beta 75.33
_cell_angle_gamma 125.28
loop_
_space_group_symop_operation_xyz
'x,y,z'
loop_
_atom_site_label
_atom_site_type_symbol
_atom_site_fract_x
_atom_site_fract_y
_atom_site_fract_z
_atom_site_occupancy
Ti1 Ti 0.0716 0.7500 0.3216 1
Ti2 Ti 0.2500 0.2500 0.0000 1
Ti3 Ti 0.4284 0.7500 0.6784 1
Ti4 Ti 0.5716 0.2500 0.3216 1
Ti5 Ti 0.7500 0.7500 0.0000 1
Ti6 Ti 0.9284 0.2500 0.6784 1
V1 V 0.0000 0.5000 0.5000 1
V2 V 0.5000 0.0000 0.5000 1
As1 As 0.1552 0.1548 0.3100 1
As2 As 0.3448 0.6548 0.9996 1
As3 As 0.6552 0.3452 0.0004 1
As4 As 0.8448 0.8452 0.6900 1
# **Space-group type**: Ibam
# **Energy of formation from the pure elements**: -0.452 eV/atom
# **E_tot**: -44.8 eV per formula unit
# **Size of the total moment**: 0.000 μB/atom

---

Record 8
# PBE TiVAs, optimized geometry
data_TiVAs
_chemical_formula_sum 'Ti1 V1 As1'
_space_group_name_H-M_alt 'P 1'
_space_group_IT_number 1
_cell_length_a 7.2741
_cell_length_b 7.2741
_cell_length_c 7.2741
_cell_angle_alpha 158.76
_cell_angle_beta 158.76
_cell_angle_gamma 30.22
loop_
_space_group_symop_operation_xyz
'x,y,z'
loop_
_atom_site_label
_atom_site_type_symbol
_atom_site_fract_x
_atom_site_fract_y
_atom_site_fract_z
_atom_site_occupancy
Ti1 Ti 0.0000 0.0000 0.0000 1
V1 V 0.8180 0.8180 0.0000 1
As1 As 0.6383 0.6383 0.0000 1
# **Space-group type**: I4mm
# **Energy of formation from the pure elements**: 0.374 eV/atom
# **E_tot**: -20.5 eV per formula unit
# **Size of the total moment**: 0.000 μB/atom

---

Record 9
# PBE TiVAs2, optimized geometry
data_TiVAs2
_chemical_formula_sum 'Ti1 V1 As2'
_space_group_name_H-M_alt 'P 1'
_space_group_IT_number 1
_cell_length_a 3.0952
_cell_length_b 3.0952
_cell_length_c 6.3945
_cell_angle_alpha 90.00
_cell_angle_beta 90.00
_cell_angle_gamma 90.00
loop_
_space_group_symop_operation_xyz
'x,y,z'
loop_
_atom_site_label
_atom_site_type_symbol
_atom_site_fract_x
_atom_site_fract_y
_atom_site_fract_z
_atom_site_occupancy
Ti1 Ti 0.0000 0.0000 0.0000 1
V1 V 0.0000 0.0000 0.5000 1
As1 As 0.5000 0.5000 0.2653 1
As2 As 0.5000 0.5000 0.7347 1
# **Space-group type**: P4/mmm
# **Energy of formation from the pure elements**: -0.404 eV/atom
# **Relative energy among the computed polymorphs**: 251.2 meV/atom
# **E_tot**: -27.9 eV per formula unit
# **Size of the total moment**: 0.000 μB/atom

---

Record 10
# PBE TiVAs2, optimized geometry
data_TiVAs2
_chemical_formula_sum 'Ti1 V1 As2'
_space_group_name_H-M_alt 'P 1'
_space_group_IT_number 1
_cell_length_a 3.5083
_cell_length_b 3.5083
_cell_length_c 6.2853
_cell_angle_alpha 90.00
_cell_angle_beta 90.00
_cell_angle_gamma 120.00
loop_
_space_group_symop_operation_xyz
'x,y,z'
loop_
_atom_site_label
_atom_site_type_symbol
_atom_site_fract_x
_atom_site_fract_y
_atom_site_fract_z
_atom_site_occupancy
Ti1 Ti 0.0000 0.0000 0.0000 1
V1 V 0.0000 0.0000 0.5000 1
As1 As 0.3333 0.6667 0.2575 1
As2 As 0.6667 0.3333 0.7425 1
# **Space-group type**: P-3m1
# **Energy of formation from the pure elements**: -0.655 eV/atom
# **Relative energy among the computed polymorphs**: 0.0 meV/atom
# **E_tot**: -28.9 eV per formula unit
# **Size of the total moment**: 0.304 μB/atom

---

Record 11
# PBE Ti2VAs, optimized geometry
data_Ti2VAs
_chemical_formula_sum 'Ti2 V1 As1'
_space_group_name_H-M_alt 'P 1'
_space_group_IT_number 1
_cell_length_a 8.0816
_cell_length_b 8.0816
_cell_length_c 8.0816
_cell_angle_alpha 22.07
_cell_angle_beta 22.07
_cell_angle_gamma 22.07
loop_
_space_group_symop_operation_xyz
'x,y,z'
loop_
_atom_site_label
_atom_site_type_symbol
_atom_site_fract_x
_atom_site_fract_y
_atom_site_fract_z
_atom_site_occupancy
Ti1 Ti 0.2481 0.2481 0.2481 1
Ti2 Ti 0.7519 0.7519 0.7519 1
V1 V 0.0000 0.0000 0.0000 1
As1 As 0.5000 0.5000 0.5000 1
# **Space-group type**: R-3m
# **Energy of formation from the pure elements**: -0.125 eV/atom
# **Relative energy among the computed polymorphs**: 319.9 meV/atom
# **E_tot**: -30.1 eV per formula unit
# **Size of the total moment**: 0.001 μB/atom

---

Record 12
# PBE TiVAs2, optimized geometry
data_TiVAs2
_chemical_formula_sum 'Ti1 V1 As2'
_space_group_name_H-M_alt 'P 1'
_space_group_IT_number 1
_cell_length_a 4.4273
_cell_length_b 4.4273
_cell_length_c 4.4273
_cell_angle_alpha 60.00
_cell_angle_beta 60.00
_cell_angle_gamma 60.00
loop_
_space_group_symop_operation_xyz
'x,y,z'
loop_
_atom_site_label
_atom_site_type_symbol
_atom_site_fract_x
_atom_site_fract_y
_atom_site_fract_z
_atom_site_occupancy
Ti1 Ti 0.0000 0.0000 0.0000 1
V1 V 0.5000 0.5000 0.5000 1
As1 As 0.2500 0.2500 0.2500 1
As2 As 0.7500 0.7500 0.7500 1
# **Space-group type**: Fm-3m
# **Energy of formation from the pure elements**: -0.404 eV/atom
# **Relative energy among the computed polymorphs**: 250.5 meV/atom
# **E_tot**: -27.9 eV per formula unit
# **Size of the total moment**: 0.000 μB/atom